# 1
First-principles (PBE) data for Pb3IO3 after structural relaxation, as listed in the Alexandria database.

The value obtained for the energy above the most stable polymorph in this dataset is 0.00 kJ per mole of atoms.

The space group is R-3 (No. 148, hexagonal axes) and the conventional cell measures 7.0430, 7.0430 and 25.4460 Å, with angles of 90.00, 90.00 and 120.00 degrees. The inequivalent atoms are Pb at (0.9996, 0.3382, 0.1091), I at (0.0000, 0.0000, 0.3337) and O at (0.0003, 0.3366, 0.2007).

# 2
First-principles (PBE) data for PdPb2IO6 after structural relaxation, as listed in the Alexandria database.

The space group is C2/m (No. 12) and the conventional cell measures 10.996, 5.596 and 5.050 Å, with angles of 90.00, 106.70 and 90.00 degrees. The inequivalent atoms are Pd at (0.000, 0.000, 0.000), Pb at (0.233, 0.000, 0.730), I at (0.000, 0.500, 0.500), O at (0.077, 0.249, 0.301) and O at (0.171, 0.500, 0.768).

# 3
First-principles (PBE) data for PmPbIO6 after structural relaxation, as listed in the Alexandria database.

The space group is P-31c (No. 163) and the conventional cell measures 5.8280, 5.8280 and 9.9929 Å, with angles of 90.00, 90.00 and 120.00 degrees. The inequivalent atoms are Pm at (0.3333, 0.6667, 0.2500), Pb at (0.0000, 0.0000, 0.0000), I at (0.3333, 0.6667, 0.7500) and O at (0.0570, 0.4010, 0.6418).

# 4
First-principles (PBE) data for PmPbIO2 after structural relaxation, as listed in the Alexandria database.

The space group is P2_1/m (No. 11) and the conventional cell measures 7.487, 4.180 and 8.425 Å, with angles of 90.00, 106.69 and 90.00 degrees. The inequivalent atoms are Pm at (0.145, 0.250, 0.408), Pb at (0.164, 0.250, 0.926), I at (0.452, 0.750, 0.282), O at (0.002, 0.250, 0.130) and O at (0.009, 0.750, 0.389).

Number 1: D(E_F) 1.296 states/eV/atom, formation energy (no corrections) -0.892 eV per atom, M_tot 0.0 μB/f.u.. Number 2: D(E_F) 0.219 states/eV/atom, formation energy (no corrections) -0.640 eV per atom, M_tot 0.0 μB/f.u.. Number 3: D(E_F) 0.000 states/eV/atom, formation energy (no corrections) -1.386 eV per atom, M_tot 0.0 μB/f.u.. Number 4: D(E_F) 0.000 states/eV/atom, formation energy (no corrections) -2.086 eV per atom, M_tot 0.0 μB/f.u..